The following is a DFT calculation (PBE) of crystalline NaHoPu2Se4 at its relaxed geometry.

Computed properties:
VASP energy = -7.5912 eV/atom

Cell: 7.145 4.141 7.253 Å, 90.00 109.59 90.00°
Space group P2/m (No. 10)
Asymmetric unit:
Na: 0.000 0.000 0.000 x1
Ho: 0.000 0.500 0.500 x1
Pu: 0.500 0.000 0.500 x1
Pu: 0.500 0.500 0.000 x1
Se: 0.244 0.000 0.746 x2
Se: 0.248 0.500 0.257 x2

=====

The following is a DFT calculation (PBE) of crystalline Na2Tb3SmTe6 at its relaxed geometry.

Computed properties:
VASP energy = -4.6718 eV/atom

Cell: 7.646 13.234 7.763 Å, 90.00 109.13 90.00°
Space group C2/m (No. 12)
Asymmetric unit:
Na: 0.000 0.166 0.000 x4
Tb: 0.000 0.000 0.500 x2
Tb: 0.000 0.332 0.500 x4
Sm: 0.000 0.500 0.000 x2
Te: 0.246 0.500 0.743 x4
Te: 0.249 0.166 0.745 x8

=====

The following is a DFT calculation (PBE) of crystalline HfSc2IrC at its relaxed geometry.

Computed properties:
Formation energy from the elements = -534 meV per atom

Cell: 4.369 4.369 4.486 Å, 90.00 90.00 90.00°
Space group P4/mmm (No. 123)
Asymmetric unit:
Hf: 0.000 0.000 0.000 x1
Sc: 0.000 0.500 0.500 x2
Ir: 0.500 0.500 0.000 x1
C: 0.000 0.000 0.500 x1

=====

The following is a DFT calculation (PBE) of crystalline KNdCuO3 at its relaxed geometry.

Computed properties:
VASP energy = -6.1214 eV/atom

Cell: 13.062 3.946 7.435 Å, 90.00 105.20 90.00°
Space group C2/m (No. 12)
Asymmetric unit:
K: 0.142 0.000 0.064 x4
Nd: 0.149 0.000 0.579 x4
Cu: 0.007 0.500 0.288 x4
O: 0.007 0.000 0.297 x4
O: 0.146 0.500 0.773 x4
O: 0.163 0.500 0.367 x4

=====

The following is a DFT calculation (PBE) of crystalline Te2Pt2C at its relaxed geometry.

Computed properties:
Energy relative to the lowest polymorph listed for this composition = 19.4 meV/atom

Cell: 3.787 3.787 14.305 Å, 90.00 90.00 90.00°
Space group I4/mmm (No. 139)
Asymmetric unit:
Te: 0.000 0.000 0.109 x4
Pt: 0.000 0.500 0.250 x4
C: 0.000 0.000 0.500 x2

=====

The following is a DFT calculation (PBE) of crystalline YAgAs2Se at its relaxed geometry.

Computed properties:
Energy relative to the lowest polymorph listed for this composition = 226.9 meV/atom

Cell: 5.447 5.447 5.413 Å, 90.00 90.00 90.00°
Space group P4/mmm (No. 123)
Asymmetric unit:
Y: 0.000 0.000 0.000 x1
Ag: 0.500 0.500 0.500 x1
As: 0.000 0.500 0.000 x2
Se: 0.000 0.000 0.500 x1

=====

The following is a DFT calculation (PBE) of crystalline Tb9Pr4Nd11 at its relaxed geometry.

Computed properties:
Formation energy from the elements = 65 meV per atom

Cell: 17.129 25.811 3.743 Å, 90.00 90.00 90.00°
Space group Cmmm (No. 65)
Asymmetric unit:
Tb: 0.000 0.000 0.000 x2
Tb: 0.101 0.236 0.000 x8
Tb: 0.138 0.427 0.000 x8
Pr: 0.155 0.101 0.000 x8
Nd: 0.000 0.134 0.500 x4
Nd: 0.000 0.341 0.500 x4
Nd: 0.000 0.500 0.500 x2
Nd: 0.211 0.000 0.500 x4
Nd: 0.225 0.319 0.500 x8

=====

The following is a DFT calculation (PBE) of crystalline PuHfTiAl at its relaxed geometry.

Computed properties:
Formation energy from the elements = -10 meV per atom

Cell: 6.801 6.801 6.801 Å, 90.00 90.00 90.00°
Space group F-43m (No. 216)
Asymmetric unit:
Pu: 0.000 0.000 0.000 x4
Hf: 0.250 0.250 0.250 x4
Ti: 0.250 0.250 0.750 x4
Al: 0.000 0.000 0.500 x4

=====

Total moment across the listed records, respectively: 0.2, 0.0, 0.0, 0.0, 0.2, 0.0, 0.0, 25.7 Bohr magnetons per cell.